Run a
A relaxed SrCoTe3 crystal. Source: Alexandria, functional PBE.

abc: 6.0801 6.0801 6.0801
angles: 90.00 90.00 90.00
With the nearest neighbours (Å) after each atom.
Space group Pm-3m (No. 221)
Asymmetric unit:
Sr (0.0000, 0.0000, 0.0000) x1  6 Te 3.04
Co (0.5000, 0.5000, 0.5000) x1  12 Te 4.30
Te (0.0000, 0.0000, 0.5000) x3  2 Sr 3.04

Output
density	3.9	Mg/m³

Run b
A relaxed SrCoTe3 crystal. Source: Alexandria, functional PBE.

abc: 5.2007 5.2007 5.2007
angles: 90.00 90.00 90.00
With the nearest neighbours (Å) after each atom.
Space group Pm-3m (No. 221)
Asymmetric unit:
Sr (0.0000, 0.0000, 0.0000) x1  12 Te 3.68
Co (0.5000, 0.5000, 0.5000) x1  6 Te 2.60
Te (0.0000, 0.5000, 0.5000) x3  2 Co 2.60

Output
density	6.2	Mg/m³

Of them, the most stable is run b and the least stable is run a.

Run a
A relaxed Sr2Tl2Co crystal. Source: Alexandria, functional PBE.

abc: 8.1334 8.1334 5.1301
angles: 90.00 90.00 90.00
With the nearest neighbours (Å) after each atom.
Space group P4/mbm (No. 127)
Asymmetric unit:
Sr (0.1685, 0.3315, 0.0000) x4  2 Co 3.02, 2 Tl 3.36
Tl (0.1428, 0.6428, 0.5000) x4  1 Tl 3.29, 6 Sr 3.36-3.61
Co (0.0000, 0.0000, 0.0000) x2  4 Sr 3.02

Output
density	6.3	Mg/m³

Run b
A relaxed Sr2Tl2Co crystal. Source: Alexandria, functional PBE.

abc: 4.2383 4.2383 19.0167
angles: 90.00 90.00 90.00
With the nearest neighbours (Å) after each atom.
Space group I4/mmm (No. 139)
Asymmetric unit:
Sr (0.0000, 0.0000, 0.0917) x4  4 Co 3.47, 1 Sr 3.49, 4 Tl 3.68
Tl (0.0000, 0.5000, 0.2500) x4  4 Tl 3.00
Co (0.0000, 0.0000, 0.5000) x2  8 Sr 3.47

Output
density	6.3	Mg/m³

Of them, the most stable is run b and the least stable is run a.

Run a
A relaxed SrTlCo3 crystal. Source: Alexandria, functional PBE.

abc: 4.8539 4.8539 4.8539
angles: 90.00 90.00 90.00
With the nearest neighbours (Å) after each atom.
Space group Pm-3m (No. 221)
Asymmetric unit:
Sr (0.0000, 0.0000, 0.0000) x1  6 Co 2.43
Tl (0.5000, 0.5000, 0.5000) x1  12 Co 3.43
Co (0.0000, 0.0000, 0.5000) x3  2 Sr 2.43

Output
density	6.8	Mg/m³

Run b
A relaxed SrTlCo3 crystal. Source: Alexandria, functional PBE.

abc: 4.9307 4.9307 4.9307
angles: 90.00 90.00 90.00
With the nearest neighbours (Å) after each atom.
Space group Pm-3m (No. 221)
Asymmetric unit:
Sr (0.0000, 0.0000, 0.0000) x1  12 Co 3.49
Tl (0.5000, 0.5000, 0.5000) x1  6 Co 2.47
Co (0.0000, 0.5000, 0.5000) x3  2 Tl 2.47

Output
density	6.5	Mg/m³

Of them, the most stable is run b and the least stable is run a.